(1)
Entry from Alexandria: KIn2Cl after structural relaxation (PBE).

Output
Polymorph energy (0 for the lowest one) ... 467 meV per atom
Space group ... R-3m (166)
Crystal system ... trigonal
DOS at the Fermi energy ... 0.77 states/eV per atom
Formation energy without anion corrections ... -0.23 eV/atom
E ... -9.34 eV/cell
ρ ... 3.979 g/cm3
Magnetic moment ... 0.000 μB/f.u.
Calculated volume ... 126.9 Å³/f.u.

Cell lengths 10.597, 10.596, 10.596 Å; angles 20.44, 20.43, 20.43 degrees
Sites, in units of the cell vectors:
1 Cl 0.750 0.750 0.750
2 K 0.250 0.250 0.250
3 In 0.488 0.488 0.488
4 In 0.012 0.012 0.012

***

(2)
Entry from Alexandria: KIn2Cl after structural relaxation (PBE).

Output
Polymorph energy (0 for the lowest one) ... 45 meV per atom
Space group ... P4/mmm (123)
Crystal system ... tetragonal
DOS at the Fermi energy ... 0.73 states/eV per atom
Formation energy without anion corrections ... -0.65 eV/atom
E ... -11.03 eV/cell
ρ ... 3.472 g/cm3
Magnetic moment ... 0.000 μB/f.u.
Calculated volume ... 145.5 Å³/f.u.

Cell lengths 7.845, 4.306, 4.306 Å; angles 90.00, 90.00, 90.00 degrees
Sites, in units of the cell vectors:
1 In 0.000 0.000 0.000
2 In 0.000 0.500 0.500
3 Cl 0.500 0.000 0.500
4 K 0.500 0.500 0.000

***

(3)
Entry from Alexandria: K2In2Cl after structural relaxation (PBE).

Output
Polymorph energy (0 for the lowest one) ... 422 meV per atom
Space group ... P4/mbm (127)
Crystal system ... tetragonal
DOS at the Fermi energy ... 1.07 states/eV per atom
Formation energy without anion corrections ... -0.30 eV/atom
E ... -22.07 eV/cell
ρ ... 2.907 g/cm3
Magnetic moment ... 0.000 μB/f.u.
Calculated volume ... 196.1 Å³/f.u.

Cell lengths 8.399, 8.399, 5.560 Å; angles 90.00, 90.00, 90.00 degrees
Sites, in units of the cell vectors:
1 In 0.625 0.125 0.000
2 In 0.375 0.875 0.000
3 In 0.125 0.375 0.000
4 In 0.875 0.625 0.000
5 Cl 0.000 0.000 0.000
6 Cl 0.500 0.500 0.000
7 K 0.318 0.182 0.500
8 K 0.682 0.818 0.500
9 K 0.182 0.682 0.500
10 K 0.818 0.318 0.500

***

(4)
Entry from Alexandria: KIn2Cl after structural relaxation (PBE).

Output
Polymorph energy (0 for the lowest one) ... 338 meV per atom
Space group ... F-43m (216)
Crystal system ... cubic
DOS at the Fermi energy ... 1.06 states/eV per atom
Formation energy without anion corrections ... -0.36 eV/atom
E ... -9.86 eV/cell
ρ ... 4.108 g/cm3
Magnetic moment ... 0.912 μB/f.u.
Calculated volume ... 123.0 Å³/f.u.

Cell lengths 5.582, 5.582, 5.582 Å; angles 60.00, 60.00, 60.00 degrees
Sites, in units of the cell vectors:
1 K 0.750 0.750 0.750
2 Cl 0.500 0.500 0.500
3 In 0.000 0.000 0.000
4 In 0.250 0.250 0.250

***

(5)
Entry from Alexandria: K3InCl8 after structural relaxation (PBE).

Output
Space group ... I4/mmm (139)
Crystal system ... tetragonal
DOS at the Fermi energy ... 1.18 states/eV per atom
Formation energy without anion corrections ... -1.11 eV/atom
E ... -34.17 eV/cell
ρ ... 2.311 g/cm3
Magnetic moment ... 1.906 μB/f.u.
Calculated volume ... 370.6 Å³/f.u.

Cell lengths 7.113, 7.113, 8.886 Å; angles 113.59, 113.59, 90.00 degrees
Sites, in units of the cell vectors:
1 Cl 0.332 0.890 0.221
2 Cl 0.668 0.668 0.779
3 Cl 0.332 0.332 0.221
4 Cl 0.890 0.890 0.221
5 Cl 0.110 0.110 0.779
6 Cl 0.110 0.668 0.779
7 Cl 0.668 0.110 0.779
8 Cl 0.890 0.332 0.221
9 K 0.500 0.500 0.000
10 K 0.750 0.250 0.500
11 K 0.250 0.750 0.500
12 In 0.000 0.000 0.000

***

(6)
Entry from Alexandria: KInCl2 after structural relaxation (PBE).

Output
Polymorph energy (0 for the lowest one) ... 123 meV per atom
Space group ... I-4m2 (119)
Crystal system ... tetragonal
DOS at the Fermi energy ... 0.00 states/eV per atom
Formation energy without anion corrections ... -1.26 eV/atom
E ... -12.57 eV/cell
ρ ... 2.764 g/cm3
Magnetic moment ... 0.000 μB/f.u.
Calculated volume ... 135.1 Å³/f.u.

Cell lengths 7.731, 7.731, 7.731 Å; angles 147.20, 147.20, 47.06 degrees
Sites, in units of the cell vectors:
1 Cl 0.000 0.000 0.000
2 Cl 0.250 0.750 0.500
3 In 0.500 0.500 0.000
4 K 0.750 0.250 0.500